Crystalline SiPC at its relaxed geometry, computed with PBE.

The density of states at the Fermi level is 0.81 states/eV/f.u. The crystal system is orthorhombic. The uncorrected formation energy is 1.6 eV/f.u.

The structure belongs to space group Amm2 (No. 38); the cell edges are 2.941, 2.982 and 8.522 Å and the angles 90.00°, 90.00° and 90.00°. The distinct sites, in fractional coordinates, are Si at (0.000, 0.000, 0.000), P at (0.500, 0.000, 0.221) and C at (0.000, 0.000, 0.368).

---

Crystalline KSr3Ir at its relaxed geometry, computed with PBE.

For the energy of formation, the calculation gives 0.755 eV/atom. The density of states at the Fermi level is 0.22 states/eV/f.u. The crystal system is tetragonal.

The structure belongs to space group I-4m2 (No. 119); the cell edges are 13.152, 13.152 and 11.257 Å and the angles 90.00°, 90.00° and 90.00°. The distinct sites, in fractional coordinates, are K at (0.000, 0.000, 0.000), K at (0.000, 0.500, 0.250), Sr at (0.000, 0.000, 0.332), Sr at (0.000, 0.300, 0.780) and Ir at (0.000, 0.500, 0.635).

---

no.,relative energy among the computed polymorphs (meV/atom),mass density (g/cm³),raw total energy (eV per formula unit)
1,334,3.158,-18.428
2,855,1.686,-11.230